Record 1
Computed, not measured: a geometry-optimized Ni2OsSe structure at the PBE level of DFT.

Structure (CIF):
```
data_Ni2OsSe
_symmetry_space_group_name_H-M 'P 1'
_symmetry_Int_Tables_number 1
_symmetry_space_group_name_Hall 'P 1'
_cell_length_a 2.659
_cell_length_b 2.800
_cell_length_c 7.298
_cell_angle_alpha 90.00
_cell_angle_beta 90.00
_cell_angle_gamma 90.00
loop_
_atom_site_label
_atom_site_type_symbol
_atom_site_fract_x
_atom_site_fract_y
_atom_site_fract_z
_atom_site_occupancy
Ni1 Ni 0.000 0.000 0.239 1
Ni2 Ni 0.000 0.000 0.761 1
Os1 Os 0.500 0.500 0.000 1
Se1 Se 0.500 0.500 0.500 1
```

The final energy is -25.03 eV per cell. As for the uncorrected formation energy: 7.2 kcal/mol of atoms. The density of states at the Fermi level is 1.04 states/eV/atom. The value obtained for the volume is 54 Å³ per cell. The space-group type is Pmmm.



Record 2
Computed, not measured: a geometry-optimized Mn2PdSe structure at the PBE level of DFT.

Structure (CIF):
```
data_Mn2PdSe
_symmetry_space_group_name_H-M 'P 1'
_symmetry_Int_Tables_number 1
_symmetry_space_group_name_Hall 'P 1'
_cell_length_a 6.466
_cell_length_b 6.466
_cell_length_c 6.466
_cell_angle_alpha 130.75
_cell_angle_beta 130.75
_cell_angle_gamma 72.20
loop_
_atom_site_label
_atom_site_type_symbol
_atom_site_fract_x
_atom_site_fract_y
_atom_site_fract_z
_atom_site_occupancy
Mn1 Mn 0.115 0.625 0.990 1
Mn2 Mn 0.375 0.365 0.490 1
Mn3 Mn 0.635 0.125 0.010 1
Mn4 Mn 0.875 0.885 0.510 1
Pd1 Pd 0.250 0.750 0.500 1
Pd2 Pd 0.500 0.500 0.000 1
Se1 Se 0.000 0.000 0.000 1
Se2 Se 0.750 0.250 0.500 1
```

The final energy is -47.18 eV per cell. As for the uncorrected formation energy: 19.8 kcal/mol of atoms. The density of states at the Fermi level is 1.51 states/eV/atom. The value obtained for the volume is 152 Å³ per cell. The space-group type is I-42d.



Record 3
Computed, not measured: a geometry-optimized PrMo2C2 structure at the PBE level of DFT.

Structure (CIF):
```
data_PrMo2C2
_symmetry_space_group_name_H-M 'P 1'
_symmetry_Int_Tables_number 1
_symmetry_space_group_name_Hall 'P 1'
_cell_length_a 6.533
_cell_length_b 5.861
_cell_length_c 5.765
_cell_angle_alpha 68.38
_cell_angle_beta 56.50
_cell_angle_gamma 55.12
loop_
_atom_site_label
_atom_site_type_symbol
_atom_site_fract_x
_atom_site_fract_y
_atom_site_fract_z
_atom_site_occupancy
Pr1 Pr 0.125 0.125 0.125 1
Pr2 Pr 0.875 0.875 0.875 1
Mo1 Mo 0.235 0.235 0.515 1
Mo2 Mo 0.485 0.485 0.765 1
Mo3 Mo 0.515 0.515 0.235 1
Mo4 Mo 0.765 0.765 0.485 1
C1 C 0.176 0.574 0.176 1
C2 C 0.426 0.824 0.426 1
C3 C 0.574 0.176 0.574 1
C4 C 0.824 0.426 0.824 1
```

The final energy is -90.16 eV per cell. The energy relative to the elements is -38 meV per atom. The density of states at the Fermi level is 0.50 states/eV/atom. The value obtained for the volume is 151 Å³ per cell. The space-group type is Fddd.